(1)
Here is a relaxed Ac2SnPPt6 crystal from the Alexandria database. Energies are from PBE.

Formation enthalpy at 0 K (eV/atom): -0.8956

Cell: 6.293 6.293 10.814 Å, 90.00 90.00 90.00°
Space group I4mm (No. 107)
One atom of each set of equivalent atoms:
Ac 0.000 0.500 0.000 (multiplicity 4)
Sn 0.000 0.000 0.326 (multiplicity 2)
P 0.000 0.000 0.857 (multiplicity 2)
Pt 0.000 0.000 0.071 (multiplicity 2)
Pt 0.000 0.000 0.559 (multiplicity 2)
Pt 0.228 0.228 0.734 (multiplicity 8)

***

(2)
Here is a relaxed ScCrPt6 crystal from the Alexandria database. Energies are from PBE.

Formation enthalpy at 0 K (eV/atom): -0.6476

Cell: 3.956 3.956 7.966 Å, 90.00 90.00 90.00°
Space group P4/mmm (No. 123)
One atom of each set of equivalent atoms:
Sc 0.000 0.000 0.000 (multiplicity 1)
Cr 0.000 0.000 0.500 (multiplicity 1)
Pt 0.000 0.500 0.256 (multiplicity 4)
Pt 0.500 0.500 0.000 (multiplicity 1)
Pt 0.500 0.500 0.500 (multiplicity 1)

***

(3)
Here is a relaxed Ba6TlIr crystal from the Alexandria database. Energies are from PBE.

Formation enthalpy at 0 K (eV/atom): -0.1586

Cell: 8.414 13.395 8.059 Å, 90.00 105.10 90.00°
Space group C2/m (No. 12)
One atom of each set of equivalent atoms:
Ba 0.197 0.160 0.241 (multiplicity 8)
Ba 0.242 0.500 0.211 (multiplicity 4)
Tl 0.000 0.500 0.500 (multiplicity 2)
Ir 0.000 0.000 0.000 (multiplicity 2)

***

(4)
Here is a relaxed Fe3AgI12 crystal from the Alexandria database. Energies are from PBE.

E_form (uncorrected) (meV/atom): -103

Cell: 11.7510 11.7510 40.4006 Å, 90.00 90.00 120.00°
Space group R3c (No. 161, hexagonal axes)
One atom of each set of equivalent atoms:
Fe 0.0379 0.3577 0.0000 (multiplicity 18)
Ag 0.0000 0.0000 0.3847 (multiplicity 6)
I 0.1636 0.3992 0.0553 (multiplicity 18)
I 0.1897 0.4346 0.9515 (multiplicity 18)
I 0.1994 0.4312 0.8334 (multiplicity 18)
I 0.2154 0.4347 0.1638 (multiplicity 18)

***

(5)
Here is a relaxed GdDyP crystal from the Alexandria database. Energies are from PBE.

Formation enthalpy at 0 K (eV/atom): -0.9765

Cell: 3.8901 3.8901 6.4346 Å, 90.00 90.00 120.00°
Space group P3m1 (No. 156)
One atom of each set of equivalent atoms:
Gd 0.0000 0.0000 0.0000 (multiplicity 1)
Dy 0.3333 0.6667 0.5043 (multiplicity 1)
P 0.6667 0.3333 0.2551 (multiplicity 1)

***

(6)
Here is a relaxed Nb2SbBr crystal from the Alexandria database. Energies are from PBE.

E_form (uncorrected) (meV/atom): 225
Offset from the most stable computed form (eV/atom): 0.0000

Cell: 6.790 6.790 6.790 Å, 90.00 90.00 90.00°
Space group Fm-3m (No. 225)
One atom of each set of equivalent atoms:
Nb 0.250 0.250 0.250 (multiplicity 8)
Sb 0.000 0.000 0.000 (multiplicity 4)
Br 0.000 0.000 0.500 (multiplicity 4)

***

The evaluated calculated volume for the records listed, in turn: 428.2; 124.7; 876.8; 4831.4; 84.3; 313.1 Å³ per cell.
The evaluated DOS at the Fermi energy for the records listed, in turn: 9.594; 9.916; 15.498; 50.888; 2.391; 14.725 states/eV/cell.